1.
A geometry-optimized TbScPa2As4 structure, computed with GGA-PBE.

```
8
Lattice="4.064 0.000 0.000 0.000 6.997 -0.125 0.000 2.476 6.584" Properties=species:S:1:pos:R:3 pbc="T T T"
As 2.032 3.642 4.944
As 2.032 5.830 1.515
As 4.064 2.400 1.553
As 0.000 7.073 4.906
Pa 0.000 2.476 6.584
Pa 2.032 1.238 3.292
Sc 2.032 3.498 -0.063
Tb 0.000 4.736 3.230
```

Properties
- Calculated formation energy: -1.2302 eV per atom

2.
A geometry-optimized Th5Si2C structure, computed with GGA-PBE.

```
16
Lattice="5.425 0.000 0.000 -2.713 5.037 0.000 0.000 0.000 14.749" Properties=species:S:1:pos:R:3 pbc="T T T"
C 0.000 2.518 3.687
C 2.713 2.519 11.061
Th 2.713 0.863 9.177
Th 0.000 0.862 5.571
Th 0.000 4.174 5.571
Th 0.000 2.519 11.061
Th 2.713 2.518 3.687
Th 0.000 4.174 1.803
Th 2.713 4.174 9.177
Th 0.000 0.862 1.803
Th 2.713 0.863 12.945
Th 2.713 4.174 12.946
Si 0.000 2.519 13.959
Si 0.000 2.519 8.163
Si 2.713 2.518 6.585
Si 2.713 2.518 0.789
```

Properties
- Uncorrected formation energy: -1.51 eV per formula unit

3.
A geometry-optimized CaYH2 structure, computed with GGA-PBE.

```
4
Lattice="0.000 3.183 3.183 3.183 0.000 3.183 3.183 3.183 0.000" Properties=species:S:1:pos:R:3 pbc="T T T"
Y 3.183 3.183 3.183
Ca 0.000 0.000 0.000
H 1.592 1.592 1.592
H 4.775 4.775 4.775
```

Properties
- Polymorph energy (0 for the lowest one): 0.592 eV per atom

4.
A geometry-optimized NaBr2F structure, computed with GGA-PBE.

```
8
Lattice="3.877 0.000 0.000 0.000 3.877 0.000 1.939 1.939 13.177" Properties=species:S:1:pos:R:3 pbc="T T T"
F 1.939 1.939 0.000
F 1.939 3.877 6.589
Br 4.846 4.845 9.883
Br 2.906 0.969 3.294
Br 2.908 2.909 9.883
Br 0.971 2.908 3.294
Na 3.877 1.939 6.589
Na 0.000 0.000 0.000
```

Properties
- Polymorph energy (0 for the lowest one): 0.000 eV per atom
- Uncorrected formation energy: -3.79 eV per formula unit

5.
A geometry-optimized Li2InRu structure, computed with GGA-PBE.

```
4
Lattice="4.678 0.000 0.000 0.000 2.882 0.014 0.000 0.273 4.802" Properties=species:S:1:pos:R:3 pbc="T T T"
Li 0.000 2.888 0.169
Li 0.000 1.572 2.253
Ru 2.339 0.789 1.204
In 2.339 2.367 3.612
```

Properties
- Calculated formation energy: 0.0141 eV per atom

6.
A geometry-optimized RbY3Cl structure, computed with GGA-PBE.

```
5
Lattice="-3.033 4.769 0.875 -4.267 -3.116 2.189 2.302 0.508 5.211" Properties=species:S:1:pos:R:3 pbc="T T T"
Y -1.517 2.384 0.438
Y -2.134 -1.558 1.095
Y 1.151 0.254 2.605
Cl -2.499 1.080 4.138
Rb 0.000 0.000 0.000
```

Properties
- Polymorph energy (0 for the lowest one): 1.287 eV per atom
- Uncorrected formation energy: 6.59 eV per formula unit

7.
A geometry-optimized LiTb2Sc structure, computed with GGA-PBE.

```
4
Lattice="-3.181 0.771 -0.985 -2.440 -2.393 0.069 -4.380 2.303 10.005" Properties=species:S:1:pos:R:3 pbc="T T T"
Sc -8.128 1.222 9.394
Li -5.000 0.342 4.547
Tb -2.488 0.158 2.227
Tb -3.767 1.604 7.470
```

Properties
- Polymorph energy (0 for the lowest one): 0.009 eV per atom
- Calculated formation energy: 0.0933 eV per atom